No. 1
The following is a PBE calculation of AlCr2Ni after structural relaxation, from the Alexandria database.

Properties
Symmetry: P4mm
DFT formation energy: -26 meV/atom
Total magnetization: 0.000 μB/atom

Cell: 2.515 2.515 7.602 Å, 90.00 90.00 90.00°
Atoms (fractional coordinates):
1 Cr 0.000 0.000 0.998
2 Cr 0.500 0.500 0.266
3 Ni 0.000 0.000 0.499
4 Al 0.500 0.500 0.736

***

No. 2
The following is a PBE calculation of AlCr2Ni after structural relaxation, from the Alexandria database.

Properties
Symmetry: P4/mmm
DFT formation energy: 114 meV/atom
Total magnetization: 1.463 μB/atom

Cell: 4.119 4.119 3.093 Å, 90.00 90.00 90.00°
Atoms (fractional coordinates):
1 Cr 0.500 0.500 0.000
2 Cr 0.000 0.000 0.000
3 Ni 0.500 0.000 0.500
4 Al 0.000 0.500 0.500

***

No. 3
The following is a PBE calculation of AlCrNi5 after structural relaxation, from the Alexandria database.

Properties
Symmetry: C2/c
DFT formation energy: -117 meV/atom
Total magnetization: 0.222 μB/atom

Cell: 4.542 4.542 8.499 Å, 103.86 103.86 97.01°
Atoms (fractional coordinates):
1 Ni 0.761 0.455 0.039
2 Ni 0.545 0.239 0.461
3 Ni 0.602 0.990 0.156
4 Ni 0.398 0.010 0.844
5 Ni 0.990 0.602 0.656
6 Ni 0.455 0.761 0.539
7 Ni 0.141 0.859 0.250
8 Ni 0.859 0.141 0.750
9 Ni 0.010 0.398 0.344
10 Ni 0.239 0.545 0.961
11 Al 0.000 0.000 0.500
12 Al 0.000 0.000 0.000
13 Cr 0.513 0.487 0.750
14 Cr 0.487 0.513 0.250